Here is an optimized crystal structure of BeVH from Alexandria. Energies are from PBE-GGA.

energy relative to the lowest polymorph listed for this composition: 158 meV per atom
volume: 47.4 Å³ per cell
SG: Cm
E_tot: -0.2013 Ha/atom

a = 9.7225 Å, b = 4.8065 Å, c = 4.8065 Å
α = 142.41°, β = 152.64°, γ = 27.36°
Sites, in units of the cell vectors:
1 Be 0.3333 0.6786 0.3214
2 Be 0.8238 0.3285 0.6715
3 V 0.8310 0.6035 0.3965
4 V 0.3316 0.4178 0.5822
5 H 0.3341 0.0331 0.9669
6 H 0.2767 0.8912 0.1088

---

Here is an optimized crystal structure of Be2V4H from Alexandria. Energies are from PBE-GGA.

volume: 75.4 Å³ per cell
SG: I4/mmm
E_tot: -0.2464 Ha/atom

a = 3.4016 Å, b = 3.4016 Å, c = 6.9428 Å
α = 75.82°, β = 75.82°, γ = 90.00°
Sites, in units of the cell vectors:
1 Be 0.3644 0.3644 0.2711
2 Be 0.6356 0.6356 0.7289
3 H 0.0000 0.0000 0.0000
4 V 0.1824 0.1824 0.6353
5 V 0.8176 0.8176 0.3647
6 V 0.0000 0.5000 0.0000
7 V 0.5000 0.0000 0.0000

---

Here is an optimized crystal structure of BeVH from Alexandria. Energies are from PBE-GGA.

energy relative to the lowest polymorph listed for this composition: 1423 meV per atom
volume: 29.7 Å³ per cell
SG: P-6m2
E_tot: -0.1548 Ha/atom

a = 3.9570 Å, b = 3.9570 Å, c = 2.1870 Å
α = 90.00°, β = 90.00°, γ = 120.00°
Sites, in units of the cell vectors:
1 Be 0.0000 0.0000 0.0000
2 V 0.3333 0.6667 0.0000
3 H 0.6667 0.3333 0.5000

---

Here is an optimized crystal structure of BeVH from Alexandria. Energies are from PBE-GGA.

energy relative to the lowest polymorph listed for this composition: 248 meV per atom
volume: 48.9 Å³ per cell
SG: P1
E_tot: -0.1980 Ha/atom

a = 3.6029 Å, b = 3.7335 Å, c = 4.4361 Å
α = 65.65°, β = 113.79°, γ = 90.81°
Sites, in units of the cell vectors:
1 Be 0.5597 0.0638 0.8566
2 Be 0.9912 0.6566 0.8201
3 V 0.2796 0.8546 0.3437
4 V 0.7904 0.3506 0.3500
5 H 0.2113 0.4306 0.6974
6 H 0.2372 0.3969 0.2351

---

Here is an optimized crystal structure of Be2V5H12 from Alexandria. Energies are from PBE-GGA.

volume: 119.9 Å³ per cell
SG: C2/m
E_tot: -0.1816 Ha/atom

a = 4.5217 Å, b = 5.7357 Å, c = 5.2379 Å
α = 104.90°, β = 90.00°, γ = 113.21°
Sites, in units of the cell vectors:
1 Be 0.7438 0.0000 0.0000
2 Be 0.2562 0.0000 0.0000
3 V 0.3069 0.6137 0.6543
4 V 0.3253 0.6505 0.1636
5 V 0.0000 0.0000 0.5000
6 V 0.6747 0.3495 0.8364
7 V 0.6931 0.3863 0.3457
8 H 0.0296 0.0592 0.1918
9 H 0.0599 0.6627 0.9170
10 H 0.6029 0.6627 0.9170
11 H 0.0732 0.6933 0.4298
12 H 0.6201 0.6933 0.4298
13 H 0.5006 0.0012 0.7592
14 H 0.4994 0.9988 0.2408
15 H 0.9268 0.3067 0.5702
16 H 0.3799 0.3067 0.5702
17 H 0.9401 0.3373 0.0830
18 H 0.3971 0.3373 0.0830
19 H 0.9704 0.9408 0.8082

---

Here is an optimized crystal structure of BeVZnH2 from Alexandria. Energies are from PBE-GGA.

volume: 50.0 Å³ per cell
SG: P4/mmm
E_tot: -0.1219 Ha/atom

a = 3.4368 Å, b = 4.2318 Å, c = 3.4368 Å
α = 90.00°, β = 90.00°, γ = 90.00°
Sites, in units of the cell vectors:
1 Be 0.0000 0.0000 0.0000
2 Zn 0.0000 0.5000 0.0000
3 H 0.0000 0.0000 0.5000
4 H 0.5000 0.0000 0.0000
5 V 0.5000 0.5000 0.5000